Below is a relaxed structure of PuMn2Ag2O6, with properties calculated at the PBE+U level.

Cell: 5.356 5.356 6.860 Å, 104.12 104.12 118.67°
Sites, in units of the cell vectors:
Mn 0.333 0.667 0.500
Mn 0.667 0.333 0.500
Pu 0.000 0.000 0.500
Ag 0.184 0.816 0.000
Ag 0.816 0.184 0.000
O 0.527 0.888 0.325
O 0.473 0.112 0.675
O 0.249 0.249 0.324
O 0.112 0.473 0.675
O 0.751 0.751 0.676
O 0.888 0.527 0.325

Results
Its total energy is -7.131 eV per atom. The magnetic moment is 8.00 μB per formula unit. As for the density of states at the Fermi level: 4.089 states/eV/cell.